A plane-wave DFT calculation with GGA-PBE was carried out for crystalline YPuU at its relaxed geometry.

a b c (Å): 6.5556 6.5556 6.5556
angles (deg): 149.06 149.06 44.32
With the nearest neighbours (Å) after each atom.
Atoms (fractional coordinates):
Y 0.0000 0.0000 0.0000  5 U 3.45-3.61, 4 Y 3.50, 5 Pu 3.53-3.54
Pu 0.2909 0.2909 0.0000  4 U 2.63
U 0.7162 0.7162 0.0000  4 Pu 2.63

Space group   I4mm (107)
D(E_F)   6.94 states/eV/cell
Relative energy among the computed polymorphs   0.000 eV/atom
Uncorrected energy   -10.462 eV per atom
Calculated volume   24.74 Å³ per atom

***

A plane-wave DFT calculation with GGA-PBE was carried out for crystalline YPuU at its relaxed geometry.

a b c (Å): 12.7472 12.7472 12.7472
angles (deg): 164.32 164.32 22.24
With the nearest neighbours (Å) after each atom.
Atoms (fractional coordinates):
Y 0.0703 0.0703 0.0000  1 U 3.39, 4 Pu 3.46, 5 Y 3.48-3.52
Y 0.9297 0.9297 0.0000  1 U 3.39, 4 Pu 3.46, 5 Y 3.48-3.52
Pu 0.3322 0.3322 0.0000  4 U 2.64
Pu 0.6678 0.6678 0.0000  4 U 2.64
U 0.2060 0.2060 0.0000  4 Pu 2.64
U 0.7940 0.7940 0.0000  4 Pu 2.64

Space group   I4/mmm (139)
D(E_F)   14.91 states/eV/cell
Relative energy among the computed polymorphs   0.033 eV/atom
Uncorrected energy   -10.429 eV per atom
Calculated volume   25.21 Å³ per atom

***

A plane-wave DFT calculation with GGA-PBE was carried out for crystalline PuUZn at its relaxed geometry.

a b c (Å): 4.8111 4.8111 2.7662
angles (deg): 90.00 90.00 120.00
With the nearest neighbours (Å) after each atom.
Atoms (fractional coordinates):
Pu 0.0000 0.0000 0.0000  2 Pu 2.77, 3 U 2.78
U 0.3333 0.6667 0.0000  2 U 2.77, 3 Pu 2.78
Zn 0.6667 0.3333 0.5000  2 Zn 2.77

Space group   P-6m2 (187)
D(E_F)   6.71 states/eV/cell
Relative energy among the computed polymorphs   0.000 eV/atom
Uncorrected energy   -8.874 eV per atom
Calculated volume   18.48 Å³ per atom

***

A plane-wave DFT calculation with GGA-PBE was carried out for crystalline PuUZn at its relaxed geometry.

a b c (Å): 5.4758 5.4758 5.4758
angles (deg): 143.23 143.23 52.98
With the nearest neighbours (Å) after each atom.
Atoms (fractional coordinates):
Pu 0.0000 0.0000 0.0000  4 U 2.66, 1 Zn 2.97
U 0.6068 0.6068 0.0000  4 Pu 2.66, 1 Zn 2.97
Zn 0.3034 0.3034 0.0000  5 Pu 2.97-3.11, 5 U 2.97-3.11

Space group   I4mm (107)
D(E_F)   7.02 states/eV/cell
Relative energy among the computed polymorphs   0.081 eV/atom
Uncorrected energy   -8.794 eV per atom
Calculated volume   19.49 Å³ per atom

***

A plane-wave DFT calculation with GGA-PBE was carried out for crystalline PuUZn17 at its relaxed geometry.

a b c (Å): 6.8019 6.8019 6.8019
angles (deg): 82.74 82.74 82.74
With the nearest neighbours (Å) after each atom.
Atoms (fractional coordinates):
Pu 0.0000 0.0000 0.0000  19 Zn 3.13-3.45
U 0.6740 0.6740 0.6740  19 Zn 3.10-3.45
Zn 0.0407 0.3377 0.6339  8 Zn 2.58-2.77
Zn 0.0407 0.6339 0.3377  8 Zn 2.58-2.77
Zn 0.1770 0.6901 0.6901  8 Zn 2.56-2.76
Zn 0.2373 0.2373 0.2373  7 Zn 2.66-2.88
Zn 0.3377 0.0407 0.6339  8 Zn 2.58-2.77
Zn 0.3380 0.3380 0.8370  10 Zn 2.58-2.74
Zn 0.3377 0.6339 0.0407  8 Zn 2.58-2.77
Zn 0.3380 0.8370 0.3380  10 Zn 2.58-2.74
Zn 0.4388 0.4388 0.4388  7 Zn 2.66-2.87
Zn 0.4979 0.9840 0.9840  8 Zn 2.56-2.77
Zn 0.6339 0.0407 0.3377  8 Zn 2.58-2.77
Zn 0.6339 0.3377 0.0407  8 Zn 2.58-2.77
Zn 0.6901 0.1770 0.6901  8 Zn 2.56-2.76
Zn 0.6901 0.6901 0.1770  8 Zn 2.56-2.76
Zn 0.8370 0.3380 0.3380  10 Zn 2.58-2.74
Zn 0.9840 0.4979 0.9840  8 Zn 2.56-2.77
Zn 0.9840 0.9840 0.4979  8 Zn 2.56-2.77

Space group   R3m (160)
D(E_F)   19.08 states/eV/cell
Uncorrected energy   -2.586 eV per atom
Calculated volume   16.20 Å³ per atom

***

A plane-wave DFT calculation with GGA-PBE was carried out for crystalline PuUZn4 at its relaxed geometry.

a b c (Å): 5.3878 5.3878 5.3878
angles (deg): 60.00 60.00 60.00
With the nearest neighbours (Å) after each atom.
Atoms (fractional coordinates):
Pu 0.0000 0.0000 0.0000  12 Zn 3.16, 4 U 3.30
U 0.7500 0.7500 0.7500  12 Zn 3.16, 4 Pu 3.30
Zn 0.3748 0.3748 0.3748  6 Zn 2.69-2.70
Zn 0.3748 0.3748 0.8756  6 Zn 2.69-2.70
Zn 0.3748 0.8756 0.3748  6 Zn 2.69-2.70
Zn 0.8756 0.3748 0.3748  6 Zn 2.69-2.70

Space group   F-43m (216)
D(E_F)   9.30 states/eV/cell
Uncorrected energy   -5.162 eV per atom
Calculated volume   18.43 Å³ per atom

***

A plane-wave DFT calculation with GGA-PBE was carried out for crystalline PuZrU at its relaxed geometry.

a b c (Å): 10.8902 10.8902 10.8902
angles (deg): 20.22 20.22 20.22
With the nearest neighbours (Å) after each atom.
Atoms (fractional coordinates):
Pu 0.1769 0.1769 0.1769  3 Pu 2.30
Pu 0.8231 0.8231 0.8231  3 Pu 2.30
Zr 0.4264 0.4264 0.4264  3 Pu 3.00, 3 U 3.22
Zr 0.5736 0.5736 0.5736  3 Pu 3.00, 3 U 3.22
U 0.3135 0.3135 0.3135  3 U 2.55
U 0.6865 0.6865 0.6865  3 U 2.55

Space group   R-3m (166)
D(E_F)   13.16 states/eV/cell
Relative energy among the computed polymorphs   0.203 eV/atom
Uncorrected energy   -11.022 eV per atom
Calculated volume   22.50 Å³ per atom

***

A plane-wave DFT calculation with GGA-PBE was carried out for crystalline PuZrU at its relaxed geometry.

a b c (Å): 6.0333 6.0333 6.0333
angles (deg): 147.03 147.03 47.32
With the nearest neighbours (Å) after each atom.
Atoms (fractional coordinates):
Pu 0.0000 0.0000 0.0000  4 U 2.65
Zr 0.3027 0.3027 0.0000  5 Pu 3.26-3.35, 5 U 3.26-3.31, 4 Zr 3.42
U 0.5980 0.5980 0.0000  4 Pu 2.65

Space group   I4mm (107)
D(E_F)   7.58 states/eV/cell
Relative energy among the computed polymorphs   0.045 eV/atom
Uncorrected energy   -11.179 eV per atom
Calculated volume   21.60 Å³ per atom

***

A plane-wave DFT calculation with GGA-PBE was carried out for crystalline PuZrU at its relaxed geometry.

a b c (Å): 4.9907 4.9907 3.0356
angles (deg): 90.00 90.00 120.00
With the nearest neighbours (Å) after each atom.
Atoms (fractional coordinates):
Pu 0.0000 0.0000 0.0000  3 U 2.88, 2 Pu 3.04
Zr 0.3333 0.6667 0.5000  2 Zr 3.04, 6 Pu 3.26, 6 U 3.26
U 0.6667 0.3333 0.0000  3 Pu 2.88, 2 U 3.04

Space group   P-6m2 (187)
D(E_F)   7.88 states/eV/cell
Relative energy among the computed polymorphs   0.000 eV/atom
Uncorrected energy   -11.224 eV per atom
Calculated volume   21.83 Å³ per atom

***

A plane-wave DFT calculation with GGA-PBE was carried out for crystalline PuV3 at its relaxed geometry.

a b c (Å): 5.3719 5.3719 5.3719
angles (deg): 153.52 63.44 123.51
With the nearest neighbours (Å) after each atom.
Atoms (fractional coordinates):
Pu 0.0000 0.0000 0.0000  2 V 2.43, 2 Pu 2.46
V 0.0038 0.2349 0.7689  1 Pu 2.43, 3 V 2.46-2.69
V 0.4661 0.2349 0.2311  1 Pu 2.43, 3 V 2.46-2.69
V 0.5212 0.0212 0.5000  4 V 2.46-2.69, 2 Pu 2.73

Space group   Imm2 (44)
D(E_F)   4.71 states/eV/cell
Relative energy among the computed polymorphs   0.088 eV/atom
Uncorrected energy   -10.140 eV per atom
Calculated volume   14.29 Å³ per atom

***

A plane-wave DFT calculation with GGA-PBE was carried out for crystalline Pu3V at its relaxed geometry.

a b c (Å): 5.6617 5.6617 5.6617
angles (deg): 155.10 65.83 120.16
With the nearest neighbours (Å) after each atom.
Atoms (fractional coordinates):
Pu 0.0000 0.0000 0.0000  4 Pu 2.44-2.46
Pu 0.0544 0.8186 0.2357  3 Pu 2.44-2.46, 1 V 2.69
Pu 0.5829 0.8186 0.7643  3 Pu 2.44-2.46, 1 V 2.69
V 0.4865 0.9865 0.5000  2 V 2.44, 2 Pu 2.69

Space group   Imm2 (44)
Relative energy among the computed polymorphs   0.000 eV/atom
Uncorrected energy   -12.608 eV per atom
Calculated volume   16.39 Å³ per atom

***

A plane-wave DFT calculation with GGA-PBE was carried out for crystalline PuV at its relaxed geometry.

a b c (Å): 2.9933 3.4972 6.2666
angles (deg): 90.00 91.55 90.00
With the nearest neighbours (Å) after each atom.
Atoms (fractional coordinates):
Pu 0.1281 0.2500 0.3933  2 Pu 2.34
Pu 0.8719 0.7500 0.6067  2 Pu 2.34
V 0.2694 0.2500 0.9067  4 V 2.50-2.67
V 0.7306 0.7500 0.0933  4 V 2.50-2.67

Space group   P2_1/m (11)
D(E_F)   8.63 states/eV/cell
Uncorrected energy   -11.469 eV per atom
Calculated volume   16.39 Å³ per atom

***

A plane-wave DFT calculation with GGA-PBE was carried out for crystalline Pu3V at its relaxed geometry.

a b c (Å): 2.3907 4.5556 5.9588
angles (deg): 90.00 90.00 90.00
With the nearest neighbours (Å) after each atom.
Atoms (fractional coordinates):
Pu 0.0000 0.0000 0.0000  4 Pu 2.39-2.60
Pu 0.0000 0.5000 0.2098  4 Pu 2.39-2.60
Pu 0.5000 0.5000 0.6859  2 Pu 2.39, 2 V 2.57
V 0.5000 0.0000 0.4845  2 V 2.39, 2 Pu 2.57

Space group   Pmm2 (25)
Relative energy among the computed polymorphs   0.009 eV/atom
Uncorrected energy   -12.599 eV per atom
Calculated volume   16.22 Å³ per atom

***

A plane-wave DFT calculation with GGA-PBE was carried out for crystalline PuV3 at its relaxed geometry.

a b c (Å): 4.4125 4.4125 4.4125
angles (deg): 60.00 60.00 60.00
With the nearest neighbours (Å) after each atom.
Atoms (fractional coordinates):
Pu 0.0000 0.0000 0.0000  8 V 2.70
V 0.2500 0.2500 0.2500  4 Pu 2.70, 4 V 2.70
V 0.5000 0.5000 0.5000  8 V 2.70
V 0.7500 0.7500 0.7500  4 Pu 2.70, 4 V 2.70

Space group   Fm-3m (225)
D(E_F)   7.50 states/eV/cell
Relative energy among the computed polymorphs   0.000 eV/atom
Uncorrected energy   -10.228 eV per atom
Calculated volume   15.19 Å³ per atom